Density functional theory data (PBE-GGA) for a relaxed structure of RbTlCoC2.

Summary:
Total magnetic moment (μB/f.u.): 4.17
Density (Mg/m³): 5.8
Formation energy from the elements (eV/atom): 3.465
Raw total energy (eV/atom): -2.3129

Cell lengths 4.768, 4.768, 4.693 Å; angles 90.00, 90.00, 90.00 degrees
Positions (direct):
Rb  0.000  0.000  0.000
Tl  0.500  0.500  0.500
Co  0.000  0.000  0.500
C  0.000  0.500  0.000
C  0.500  0.000  0.000